VASP calculation (PBE-GGA) on a relaxed structure of Pr2Dy4Cd.

Output
**Energy of formation from the pure elements**: 0.007 eV/atom
**V**: 32.3 A^3/atom
**Crystal system**: monoclinic

abc: 3.6115 8.2343 8.9002
angles: 118.48 101.71 90.00
Positions (direct):
Dy (0.5587, 0.3821, 0.1173)
Dy (0.1398, 0.8136, 0.2797)
Dy (0.8602, 0.1864, 0.7203)
Dy (0.4413, 0.6179, 0.8827)
Cd (0.0000, 0.0000, 0.0000)
Pr (0.7854, 0.7047, 0.5708)
Pr (0.2146, 0.2953, 0.4292)